A plane-wave DFT calculation with GGA-PBE was carried out for K3NaF4 after structural relaxation.

Cell and atoms, written as POSCAR:
```
K3NaF4
1.0
-3.366 -3.193 2.527
3.901 -1.588 3.189
-1.424 6.251 0.479
F K Na
4 3 1
Cartesian
-0.519 1.733 1.498 F
-1.683 -1.596 1.263 F
1.950 -0.794 1.595 F
-0.370 -0.263 4.697 F
-2.261 0.334 2.932 K
0.267 -2.391 2.858 K
1.372 1.136 3.263 K
0.000 0.000 0.000 Na
```

Properties
As for the crystal system: tetragonal. The calculation puts the total magnetization at 0.27 μB per formula unit. Its total energy is -4.21 eV per atom. The formation energy without anion corrections comes out at -2695 meV per atom.

A plane-wave DFT calculation with GGA-PBE was carried out for KNaNbF6 after structural relaxation.

Cell and atoms, written as POSCAR:
```
KNaNbF6
1.0
-5.549 2.178 -0.568
0.836 -5.574 2.022
0.416 3.610 9.781
F Na Nb K
12 2 2 2
Cartesian
0.684 -0.477 9.622 F
0.378 0.270 7.105 F
-2.588 0.043 7.315 F
-3.043 -1.461 2.324 F
-1.254 1.674 8.910 F
-4.981 0.690 1.613 F
-1.710 0.170 3.919 F
-3.439 2.472 3.144 F
-2.053 1.163 1.314 F
-0.858 -2.258 8.091 F
-2.245 -0.950 9.921 F
-4.675 -0.056 4.129 F
-1.188 -2.088 3.604 Na
-3.109 2.301 7.631 Na
-0.980 -0.283 8.494 Nb
-3.317 0.496 2.740 Nb
0.208 1.805 4.890 K
0.000 0.000 0.000 K
```

Properties
As for the crystal system: trigonal. The calculation puts the total magnetization at 1.00 μB per formula unit. Its total energy is -5.58 eV per atom. The formation energy without anion corrections comes out at -2941 meV per atom.

A plane-wave DFT calculation with GGA-PBE was carried out for KNa2NbF8 after structural relaxation.

Cell and atoms, written as POSCAR:
```
KNa2NbF8
1.0
4.949 0.190 0.077
0.305 5.533 0.168
0.136 0.251 7.856
F Nb Na K
8 1 2 1
Cartesian
1.822 1.836 3.869 F
1.532 1.577 7.650 F
3.568 4.138 4.231 F
1.267 4.653 1.606 F
1.298 4.642 6.705 F
3.858 4.396 0.450 F
4.123 1.321 6.494 F
4.092 1.332 1.395 F
0.000 0.000 0.000 Nb
2.863 3.105 2.467 Na
2.527 2.869 5.634 Na
0.068 0.125 3.928 K
```

Properties
As for the crystal system: triclinic. The calculation puts the total magnetization at 0.06 μB per formula unit. Its total energy is -5.28 eV per atom. The formation energy without anion corrections comes out at -2884 meV per atom.

A plane-wave DFT calculation with GGA-PBE was carried out for K2NaNbF8 after structural relaxation.

Cell and atoms, written as POSCAR:
```
K2NaNbF8
1.0
-0.624 -1.421 -4.947
2.716 -5.040 1.431
-6.873 -3.273 1.977
K F Nb Na
2 8 1 1
Cartesian
-3.925 -5.614 -0.224 K
-0.856 -4.121 -1.315 K
-2.790 -3.425 0.079 F
-5.313 -8.064 -0.692 F
-5.780 -4.629 -2.076 F
-1.393 -2.428 -3.477 F
-3.389 -7.307 1.938 F
-1.991 -6.310 -1.618 F
0.532 -1.670 -0.847 F
0.999 -5.106 0.536 F
0.000 0.000 0.000 Nb
-3.437 -1.636 0.988 Na
```

Properties
As for the crystal system: triclinic. The calculation puts the total magnetization at 0.16 μB per formula unit. Its total energy is -5.29 eV per atom. The formation energy without anion corrections comes out at -2910 meV per atom.

What did the third record say?
A plane-wave DFT calculation with GGA-PBE was carried out for KNa2NbF8 after structural relaxation.

Cell and atoms, written as POSCAR:
```
KNa2NbF8
1.0
4.949 0.190 0.077
0.305 5.533 0.168
0.136 0.251 7.856
F Nb Na K
8 1 2 1
Cartesian
1.822 1.836 3.869 F
1.532 1.577 7.650 F
3.568 4.138 4.231 F
1.267 4.653 1.606 F
1.298 4.642 6.705 F
3.858 4.396 0.450 F
4.123 1.321 6.494 F
4.092 1.332 1.395 F
0.000 0.000 0.000 Nb
2.863 3.105 2.467 Na
2.527 2.869 5.634 Na
0.068 0.125 3.928 K
```

Properties
As for the crystal system: triclinic. The calculation puts the total magnetization at 0.06 μB per formula unit. Its total energy is -5.28 eV per atom. The formation energy without anion corrections comes out at -2884 meV per atom.